A relaxed LiHoMgZn crystal. Source: the Alexandria database, functional PBE-GGA.

a = 6.862 Å, b = 6.862 Å, c = 6.862 Å
α = 90.00°, β = 90.00°, γ = 90.00°
Fractional coordinates of all 16 atoms:
1 Li 0.000 0.000 0.000
2 Li 0.000 0.500 0.500
3 Li 0.500 0.000 0.500
4 Li 0.500 0.500 0.000
5 Ho 0.250 0.250 0.250
6 Ho 0.250 0.750 0.750
7 Ho 0.750 0.250 0.750
8 Ho 0.750 0.750 0.250
9 Mg 0.250 0.250 0.750
10 Mg 0.250 0.750 0.250
11 Mg 0.750 0.250 0.250
12 Mg 0.750 0.750 0.750
13 Zn 0.000 0.000 0.500
14 Zn 0.000 0.500 0.000
15 Zn 0.500 0.000 0.000
16 Zn 0.500 0.500 0.500

Computed properties:
Calculated formation energy in eV per atom: -0.19


A relaxed Nd5HoSn4 crystal. Source: the Alexandria database, functional PBE-GGA.

a = 8.722 Å, b = 8.722 Å, c = 7.278 Å
α = 90.69°, β = 90.69°, γ = 36.16°
Fractional coordinates of all 10 atoms:
1 Nd 0.000 0.000 0.000
2 Nd 0.333 0.333 0.493
3 Nd 0.334 0.334 0.003
4 Nd 0.666 0.666 0.997
5 Nd 0.667 0.667 0.507
6 Ho 0.000 0.000 0.500
7 Sn 0.173 0.173 0.748
8 Sn 0.492 0.492 0.742
9 Sn 0.508 0.508 0.258
10 Sn 0.827 0.827 0.252

Computed properties:
Calculated formation energy in eV per atom: -0.55


A relaxed MnOs2Cl crystal. Source: the Alexandria database, functional PBE-GGA.

a = 2.943 Å, b = 2.979 Å, c = 7.053 Å
α = 90.00°, β = 90.00°, γ = 90.00°
Fractional coordinates of all 4 atoms:
1 Mn 0.000 0.000 0.000
2 Os 0.500 0.500 0.197
3 Os 0.500 0.500 0.803
4 Cl 0.000 0.500 0.500

Computed properties:
Distance to the lowest polymorph of the same formula in eV/atom: 0.204
Formation energy without anion corrections in eV/atom: 0.522


A relaxed BeSb2TeP crystal. Source: the Alexandria database, functional PBE-GGA.

a = 4.859 Å, b = 4.859 Å, c = 4.944 Å
α = 90.00°, β = 90.00°, γ = 90.00°
Fractional coordinates of all 5 atoms:
1 Be 0.000 0.000 0.000
2 Sb 0.000 0.500 0.000
3 Sb 0.500 0.000 0.000
4 Te 0.000 0.000 0.500
5 P 0.500 0.500 0.500

Computed properties:
Distance to the lowest polymorph of the same formula in eV/atom: 0.000
Formation energy without anion corrections in eV/atom: 0.714


A relaxed Er3Fe8Tc crystal. Source: the Alexandria database, functional PBE-GGA.

a = 8.661 Å, b = 8.661 Å, c = 8.661 Å
α = 33.56°, β = 33.56°, γ = 33.56°
Fractional coordinates of all 12 atoms:
1 Er 0.000 0.000 0.000
2 Er 0.128 0.128 0.128
3 Er 0.507 0.507 0.507
4 Fe 0.060 0.564 0.564
5 Fe 0.068 0.068 0.567
6 Fe 0.068 0.567 0.068
7 Fe 0.315 0.315 0.315
8 Fe 0.564 0.060 0.564
9 Fe 0.564 0.564 0.060
10 Fe 0.567 0.068 0.068
11 Fe 0.816 0.816 0.816
12 Tc 0.630 0.630 0.630

Computed properties:
Calculated formation energy in eV per atom: -0.04


A relaxed Zr6Mn2Au crystal. Source: the Alexandria database, functional PBE-GGA.

a = 7.779 Å, b = 7.779 Å, c = 7.779 Å
α = 112.54°, β = 111.07°, γ = 104.90°
Fractional coordinates of all 18 atoms:
1 Zr 0.041 0.244 0.797
2 Zr 0.194 0.280 0.474
3 Zr 0.194 0.720 0.914
4 Zr 0.324 0.015 0.691
5 Zr 0.324 0.633 0.309
6 Zr 0.447 0.244 0.203
7 Zr 0.553 0.756 0.797
8 Zr 0.676 0.367 0.691
9 Zr 0.676 0.985 0.309
10 Zr 0.806 0.280 0.086
11 Zr 0.806 0.720 0.526
12 Zr 0.959 0.756 0.203
13 Mn 0.109 0.609 0.500
14 Mn 0.335 0.000 0.335
15 Mn 0.665 0.000 0.665
16 Mn 0.891 0.391 0.500
17 Au 0.000 0.000 0.000
18 Au 0.500 0.500 0.000

Computed properties:
Calculated formation energy in eV per atom: -0.14


A relaxed Li2Ce5Ge5 crystal. Source: the Alexandria database, functional PBE-GGA.

a = 7.195 Å, b = 7.195 Å, c = 11.300 Å
α = 116.92°, β = 116.92°, γ = 34.17°
Fractional coordinates of all 12 atoms:
1 Li 0.065 0.065 0.271
2 Li 0.935 0.935 0.729
3 Ce 0.320 0.320 0.202
4 Ce 0.341 0.341 0.475
5 Ce 0.500 0.500 0.000
6 Ce 0.659 0.659 0.525
7 Ce 0.680 0.680 0.798
8 Ge 0.000 0.000 0.500
9 Ge 0.121 0.121 0.940
10 Ge 0.309 0.309 0.718
11 Ge 0.691 0.691 0.282
12 Ge 0.879 0.879 0.060

Computed properties:
Calculated formation energy in eV per atom: -0.49


A relaxed Na3AsH crystal. Source: the Alexandria database, functional PBE-GGA.

a = 4.611 Å, b = 4.611 Å, c = 4.611 Å
α = 90.00°, β = 90.00°, γ = 90.00°
Fractional coordinates of all 5 atoms:
1 Na 0.000 0.000 0.500
2 Na 0.000 0.500 0.000
3 Na 0.500 0.000 0.000
4 As 0.500 0.500 0.500
5 H 0.000 0.000 0.000

Computed properties:
Distance to the lowest polymorph of the same formula in eV/atom: 0.000


A relaxed Sc4GaPd2Rh crystal. Source: the Alexandria database, functional PBE-GGA.

a = 8.110 Å, b = 8.110 Å, c = 8.110 Å
α = 33.50°, β = 33.50°, γ = 33.50°
Fractional coordinates of all 8 atoms:
1 Sc 0.121 0.121 0.121
2 Sc 0.372 0.372 0.372
3 Sc 0.628 0.628 0.628
4 Sc 0.879 0.879 0.879
5 Ga 0.500 0.500 0.500
6 Pd 0.248 0.248 0.248
7 Pd 0.752 0.752 0.752
8 Rh 0.000 0.000 0.000

Computed properties:
Calculated formation energy in eV per atom: -0.86


A relaxed TbNdHo2Tm crystal. Source: the Alexandria database, functional PBE-GGA.

a = 7.087 Å, b = 7.087 Å, c = 7.187 Å
α = 90.00°, β = 90.00°, γ = 107.56°
Fractional coordinates of all 10 atoms:
1 Tb 0.001 0.999 0.750
2 Tb 0.999 0.001 0.250
3 Nd 0.272 0.728 0.750
4 Nd 0.728 0.272 0.250
5 Ho 0.311 0.311 0.000
6 Ho 0.311 0.311 0.500
7 Ho 0.689 0.689 0.000
8 Ho 0.689 0.689 0.500
9 Tm 0.279 0.721 0.250
10 Tm 0.721 0.279 0.750

Computed properties:
Calculated formation energy in eV per atom: 0.39


A relaxed Cr2TcBr crystal. Source: the Alexandria database, functional PBE-GGA.

a = 9.314 Å, b = 2.940 Å, c = 4.635 Å
α = 90.00°, β = 111.07°, γ = 90.00°
Fractional coordinates of all 8 atoms:
1 Cr 0.245 0.000 0.315
2 Cr 0.255 0.500 0.685
3 Cr 0.745 0.500 0.315
4 Cr 0.755 0.000 0.685
5 Tc 0.000 0.000 0.500
6 Tc 0.500 0.500 0.500
7 Br 0.000 0.500 0.000
8 Br 0.500 0.000 0.000

Computed properties:
Distance to the lowest polymorph of the same formula in eV/atom: 0.283
Formation energy without anion corrections in eV/atom: 0.775


A relaxed CdHPd3 crystal. Source: the Alexandria database, functional PBE-GGA.

a = 3.976 Å, b = 5.862 Å, c = 6.584 Å
α = 116.35°, β = 90.48°, γ = 90.06°
Fractional coordinates of all 10 atoms:
1 Cd 0.000 0.000 0.000
2 Cd 0.000 0.260 0.520
3 H 0.463 0.794 0.587
4 H 0.735 0.618 0.235
5 Pd 0.005 0.753 0.506
6 Pd 0.014 0.501 0.003
7 Pd 0.496 0.889 0.259
8 Pd 0.497 0.371 0.260
9 Pd 0.504 0.136 0.764
10 Pd 0.505 0.628 0.764

Computed properties:
Distance to the lowest polymorph of the same formula in eV/atom: 0.037


A relaxed AlRuS crystal. Source: the Alexandria database, functional PBE-GGA.

a = 11.590 Å, b = 2.964 Å, c = 5.378 Å
α = 90.00°, β = 97.46°, γ = 90.00°
Fractional coordinates of all 12 atoms:
1 Al 0.000 0.000 0.000
2 Al 0.122 0.000 0.464
3 Al 0.500 0.500 0.000
4 Al 0.622 0.500 0.464
5 Ru 0.165 0.500 0.844
6 Ru 0.440 0.000 0.395
7 Ru 0.665 0.000 0.844
8 Ru 0.940 0.500 0.395
9 S 0.249 0.000 0.155
10 S 0.355 0.500 0.665
11 S 0.749 0.500 0.155
12 S 0.855 0.000 0.665

Computed properties:
Distance to the lowest polymorph of the same formula in eV/atom: 0.037
Formation energy without anion corrections in eV/atom: -0.468


A relaxed SrHgI4 crystal. Source: the Alexandria database, functional PBE-GGA.

a = 9.089 Å, b = 9.089 Å, c = 9.089 Å
α = 107.19°, β = 107.19°, γ = 114.14°
Fractional coordinates of all 12 atoms:
1 Sr 0.375 0.625 0.750
2 Sr 0.625 0.375 0.250
3 Hg 0.125 0.875 0.250
4 Hg 0.875 0.125 0.750
5 I 0.106 0.669 0.436
6 I 0.267 0.331 0.936
7 I 0.331 0.267 0.436
8 I 0.331 0.894 0.064
9 I 0.669 0.106 0.936
10 I 0.669 0.733 0.564
11 I 0.733 0.669 0.064
12 I 0.894 0.331 0.564

Computed properties:
Distance to the lowest polymorph of the same formula in eV/atom: 0.007
Formation energy without anion corrections in eV/atom: -0.940


A relaxed Tl2Pb5Cl12 crystal. Source: the Alexandria database, functional PBE-GGA.

a = 8.782 Å, b = 8.782 Å, c = 10.776 Å
α = 103.86°, β = 103.86°, γ = 52.87°
Fractional coordinates of all 19 atoms:
1 Tl 0.214 0.786 0.000
2 Tl 0.786 0.214 0.000
3 Pb 0.000 0.000 0.500
4 Pb 0.300 0.300 0.669
5 Pb 0.337 0.337 0.261
6 Pb 0.663 0.663 0.739
7 Pb 0.700 0.700 0.331
8 Cl 0.040 0.550 0.849
9 Cl 0.050 0.050 0.773
10 Cl 0.122 0.597 0.473
11 Cl 0.403 0.878 0.527
12 Cl 0.450 0.960 0.151
13 Cl 0.486 0.486 0.785
14 Cl 0.514 0.514 0.215
15 Cl 0.550 0.040 0.849
16 Cl 0.597 0.122 0.473
17 Cl 0.878 0.403 0.527
18 Cl 0.950 0.950 0.227
19 Cl 0.960 0.450 0.151

Computed properties:
Formation energy without anion corrections in eV/atom: -1.081


A relaxed Sr3Ac3CdS8 crystal. Source: the Alexandria database, functional PBE-GGA.

a = 8.550 Å, b = 8.550 Å, c = 8.550 Å
α = 59.67°, β = 59.67°, γ = 59.67°
Fractional coordinates of all 15 atoms:
1 Sr 0.000 0.500 0.500
2 Sr 0.500 0.000 0.500
3 Sr 0.500 0.500 0.000
4 Ac 0.000 0.000 0.500
5 Ac 0.000 0.500 0.000
6 Ac 0.500 0.000 0.000
7 Cd 0.500 0.500 0.500
8 S 0.251 0.251 0.251
9 S 0.262 0.736 0.736
10 S 0.264 0.264 0.738
11 S 0.264 0.738 0.264
12 S 0.736 0.262 0.736
13 S 0.736 0.736 0.262
14 S 0.738 0.264 0.264
15 S 0.749 0.749 0.749

Computed properties:
Formation energy without anion corrections in eV/atom: -1.854


A relaxed SmSnPb crystal. Source: the Alexandria database, functional PBE-GGA.

a = 4.294 Å, b = 4.294 Å, c = 9.817 Å
α = 90.00°, β = 90.00°, γ = 90.00°
Fractional coordinates of all 6 atoms:
1 Sm 0.250 0.250 0.096
2 Sm 0.750 0.750 0.904
3 Sn 0.250 0.250 0.769
4 Sn 0.750 0.750 0.231
5 Pb 0.250 0.250 0.426
6 Pb 0.750 0.750 0.574

Computed properties:
Distance to the lowest polymorph of the same formula in eV/atom: 0.318
Calculated formation energy in eV per atom: -0.22


A relaxed Y5Tl2Ni crystal. Source: the Alexandria database, functional PBE-GGA.

a = 7.369 Å, b = 12.416 Å, c = 4.761 Å
α = 90.00°, β = 90.00°, γ = 90.00°
Fractional coordinates of all 16 atoms:
1 Y 0.000 0.000 0.000
2 Y 0.125 0.292 0.000
3 Y 0.179 0.578 0.500
4 Y 0.321 0.078 0.500
5 Y 0.375 0.792 0.000
6 Y 0.500 0.500 0.000
7 Y 0.625 0.208 0.000
8 Y 0.679 0.922 0.500
9 Y 0.821 0.422 0.500
10 Y 0.875 0.708 0.000
11 Tl 0.097 0.836 0.500
12 Tl 0.403 0.336 0.500
13 Tl 0.597 0.664 0.500
14 Tl 0.903 0.164 0.500
15 Ni 0.000 0.500 0.000
16 Ni 0.500 0.000 0.000

Computed properties:
Calculated formation energy in eV per atom: -0.32


A relaxed TcGe crystal. Source: the Alexandria database, functional PBE-GGA.

a = 2.961 Å, b = 4.655 Å, c = 4.319 Å
α = 90.00°, β = 90.00°, γ = 90.00°
Fractional coordinates of all 4 atoms:
1 Tc 0.250 0.250 0.098
2 Tc 0.750 0.750 0.902
3 Ge 0.250 0.750 0.401
4 Ge 0.750 0.250 0.599

Computed properties:
Distance to the lowest polymorph of the same formula in eV/atom: 0.154
Calculated formation energy in eV per atom: -0.03


A relaxed CaNi2Br crystal. Source: the Alexandria database, functional PBE-GGA.

a = 3.638 Å, b = 5.156 Å, c = 8.420 Å
α = 90.00°, β = 90.00°, γ = 90.00°
Fractional coordinates of all 8 atoms:
1 Ca 0.000 0.000 0.000
2 Ca 0.500 0.500 0.500
3 Ni 0.000 0.000 0.507
4 Ni 0.000 0.500 0.177
5 Ni 0.500 0.000 0.677
6 Ni 0.500 0.500 0.007
7 Br 0.000 0.500 0.803
8 Br 0.500 0.000 0.303

Computed properties:
Distance to the lowest polymorph of the same formula in eV/atom: 0.276
Formation energy without anion corrections in eV/atom: 0.014